# 1
The following is a DFT calculation (PBE) of crystalline Dy2Er2Tl7 at its relaxed geometry.

Values from the calculation:
- final energy (eV for the cell shown) = -34.53
- energy of formation from the pure elements (eV per atom) = 0.03
- volume (Å³/cell) = 339.5
- crystal system = monoclinic

Lattice parameters (Å, degrees): 7.1052 8.0479 7.1052 75.54 119.20 104.46
Last column: nearest neighbours and their distance in Å.
Element x y z (fractional)
Dy  0.7502  0.5000  0.7502  4 Tl 3.12-3.24
Dy  0.2498  0.5000  0.2498  4 Tl 3.12-3.24
Er  0.7402  0.0102  0.2598  6 Tl 3.09-3.21
Er  0.2598  0.9898  0.7402  6 Tl 3.09-3.21
Tl  0.9983  0.3094  0.5413  3 Tl 2.97-3.31, 2 Er 3.13-3.17, 1 Dy 3.24
Tl  0.5413  0.6906  0.9983  3 Tl 2.97-3.31, 2 Er 3.13-3.17, 1 Dy 3.24
Tl  0.0017  0.6906  0.4587  3 Tl 2.97-3.31, 2 Er 3.13-3.17, 1 Dy 3.24
Tl  0.4587  0.3094  0.0017  3 Tl 2.97-3.31, 2 Er 3.13-3.17, 1 Dy 3.24
Tl  0.0000  0.0000  0.0000  2 Er 3.21, 4 Tl 3.57
Tl  0.4839  0.8087  0.5161  3 Tl 2.99-3.16, 1 Er 3.09, 2 Dy 3.12
Tl  0.5161  0.1913  0.4839  3 Tl 2.99-3.16, 1 Er 3.09, 2 Dy 3.12

***

# 2
The following is a DFT calculation (PBE) of crystalline CsIn2I at its relaxed geometry.

Values from the calculation:
- final energy (eV for the cell shown) = -7.97
- E above lowest polymorph (meV/atom) = 351.6
- ΔE_f (raw) (eV/atom) = -0.023
- volume (Å³/cell) = 164.0
- crystal system = cubic

Lattice parameters (Å, degrees): 6.1446 6.1446 6.1446 60.00 60.00 60.00
Last column: nearest neighbours and their distance in Å.
Element x y z (fractional)
Cs  0.5000  0.5000  0.5000  8 In 3.76
I  0.0000  0.0000  0.0000  8 In 3.76
In  0.2500  0.2500  0.2500  4 I 3.76, 4 Cs 3.76
In  0.7500  0.7500  0.7500  4 I 3.76, 4 Cs 3.76

***

# 3
The following is a DFT calculation (PBE) of crystalline Sc2TlIn2 at its relaxed geometry.

Values from the calculation:
- final energy (eV for the cell shown) = -20.42
- E above lowest polymorph (meV/atom) = 242.1
- energy of formation from the pure elements (eV per atom) = 0.02
- volume (Å³/cell) = 130.2
- crystal system = tetragonal

Lattice parameters (Å, degrees): 4.0935 4.0935 8.2906 75.71 75.71 90.00
Last column: nearest neighbours and their distance in Å.
Element x y z (fractional)
Sc  0.4031  0.4031  0.1938  1 Sc 3.01, 4 In 3.14, 4 Tl 3.26
Sc  0.5969  0.5969  0.8062  1 Sc 3.01, 4 In 3.14, 4 Tl 3.26
Tl  0.0000  0.0000  0.0000  8 Sc 3.26
In  0.7500  0.2500  0.5000  4 In 2.89, 4 Sc 3.14
In  0.2500  0.7500  0.5000  4 In 2.89, 4 Sc 3.14

***

# 4
The following is a DFT calculation (PBE) of crystalline CsKF2 at its relaxed geometry.

Values from the calculation:
- final energy (eV for the cell shown) = -16.28
- E above lowest polymorph (meV/atom) = 20.8
- ΔE_f (raw) (eV/atom) = -2.646
- volume (Å³/cell) = 95.2
- crystal system = trigonal

Lattice parameters (Å, degrees): 3.9801 3.9801 7.3114 74.21 74.21 60.00
Last column: nearest neighbours and their distance in Å.
Element x y z (fractional)
Cs  0.4986  0.4986  0.5042  6 F 2.97-3.01
K  0.6682  0.6682  0.9955  6 F 2.76-2.79
F  0.0746  0.0746  0.7763  3 K 2.76, 3 Cs 2.97
F  0.2587  0.2587  0.2240  3 K 2.79, 3 Cs 3.01

***

# 5
The following is a DFT calculation (PBE) of crystalline CeY2PaTc2 at its relaxed geometry.

Values from the calculation:
- final energy (eV for the cell shown) = -98.62
- energy of formation from the pure elements (eV per atom) = -0.04
- volume (Å³/cell) = 311.7
- crystal system = orthorhombic

Lattice parameters (Å, degrees): 6.7674 6.8815 8.2514 114.64 114.21 90.00
Last column: nearest neighbours and their distance in Å.
Element x y z (fractional)
Ce  0.2500  0.0000  0.0000  4 Tc 2.81
Ce  0.7500  0.0000  0.0000  4 Tc 2.81
Y  0.6920  0.9041  0.3841  1 Tc 2.93
Y  0.1920  0.4800  0.3841  1 Tc 2.93
Y  0.8080  0.5200  0.6159  1 Tc 2.93
Y  0.3080  0.0959  0.6159  1 Tc 2.93
Pa  0.7500  0.5000  0.0000  4 Tc 2.61
Pa  0.2500  0.5000  0.0000  4 Tc 2.61
Tc  0.4084  0.6357  0.8167  2 Pa 2.61, 2 Ce 2.81
Tc  0.5916  0.3643  0.1833  2 Pa 2.61, 2 Ce 2.81
Tc  0.0916  0.8189  0.1833  2 Pa 2.61, 2 Ce 2.81
Tc  0.9084  0.1811  0.8167  2 Pa 2.61, 2 Ce 2.81

***

# 6
The following is a DFT calculation (PBE) of crystalline Sm12As3H5 at its relaxed geometry.

Values from the calculation:
- final energy (eV for the cell shown) = -390.99
- volume (Å³/cell) = 1873.1
- crystal system = cubic

Lattice parameters (Å, degrees): 13.4501 13.4501 13.4501 109.47 109.47 109.47
Last column: nearest neighbours and their distance in Å.
Element x y z (fractional)
H  0.1250  0.3750  0.2500  4 Sm 2.23
H  0.0000  0.5000  0.0000  6 Sm 2.64
H  0.0000  0.0000  0.0000  6 Sm 2.64
H  0.3750  0.2500  0.1250  4 Sm 2.23
H  0.5000  0.0000  0.5000  6 Sm 2.64
H  0.5000  0.5000  0.0000  6 Sm 2.64
H  0.1250  0.7500  0.3750  4 Sm 2.23
H  0.7500  0.1250  0.8750  4 Sm 2.23
H  0.7500  0.6250  0.3750  4 Sm 2.23
H  0.3750  0.1250  0.7500  4 Sm 2.23
H  0.6250  0.8750  0.2500  4 Sm 2.23
H  0.5000  0.5000  0.5000  6 Sm 2.64
H  0.5000  0.0000  0.0000  6 Sm 2.64
H  0.0000  0.0000  0.5000  6 Sm 2.64
H  0.2500  0.3750  0.6250  4 Sm 2.23
H  0.2500  0.8750  0.1250  4 Sm 2.23
H  0.0000  0.5000  0.5000  6 Sm 2.64
H  0.8750  0.2500  0.6250  4 Sm 2.23
H  0.6250  0.7500  0.8750  4 Sm 2.23
H  0.8750  0.6250  0.7500  4 Sm 2.23
As  0.7500  0.3750  0.1250  8 Sm 3.03-3.07
As  0.8750  0.7500  0.1250  8 Sm 3.03-3.07
As  0.3750  0.7500  0.6250  8 Sm 3.03-3.07
As  0.2500  0.1250  0.3750  8 Sm 3.03-3.07
As  0.8750  0.1250  0.2500  8 Sm 3.03-3.07
As  0.3750  0.6250  0.2500  8 Sm 3.03-3.07
As  0.6250  0.3750  0.7500  8 Sm 3.03-3.07
As  0.1250  0.8750  0.7500  8 Sm 3.03-3.07
As  0.7500  0.8750  0.6250  8 Sm 3.03-3.07
As  0.6250  0.2500  0.3750  8 Sm 3.03-3.07
As  0.1250  0.2500  0.8750  8 Sm 3.03-3.07
As  0.2500  0.6250  0.8750  8 Sm 3.03-3.07
Sm  0.7148  0.1170  0.0236  1 H 2.23
Sm  0.3089  0.5236  0.4066  1 H 2.23
Sm  0.9764  0.3830  0.2852  1 H 2.23
Sm  0.5236  0.2148  0.1170  1 H 2.23
Sm  0.5977  0.7148  0.6911  1 H 2.23
Sm  0.9764  0.5934  0.1911  1 H 2.23
Sm  0.3089  0.7852  0.4023  1 H 2.23
Sm  0.0934  0.9023  0.1170  1 H 2.23
Sm  0.5934  0.9764  0.6911  1 H 2.23
Sm  0.7148  0.5977  0.1911  1 H 2.23
Sm  0.7852  0.4764  0.3830  1 H 2.23
Sm  0.8089  0.9066  0.0236  1 H 2.23
Sm  0.1170  0.7148  0.5236  1 H 2.23
Sm  0.3830  0.4066  0.0977  1 H 2.23
Sm  0.0977  0.9066  0.3830  1 H 2.23
Sm  0.4023  0.1170  0.5934  1 H 2.23
Sm  0.0977  0.1911  0.2148  1 H 2.23
Sm  0.4764  0.6911  0.0934  1 H 2.23
Sm  0.8089  0.9023  0.2852  1 H 2.23
Sm  0.1170  0.4023  0.0934  1 H 2.23
Sm  0.3830  0.9764  0.7852  1 H 2.23
Sm  0.5934  0.6170  0.4023  1 H 2.23
Sm  0.9066  0.8089  0.5236  1 H 2.23
Sm  0.7852  0.3089  0.9023  1 H 2.23
Sm  0.4066  0.3830  0.5977  1 H 2.23
Sm  0.0934  0.1911  0.4764  1 H 2.23
Sm  0.2148  0.6911  0.0977  1 H 2.23
Sm  0.1911  0.0977  0.7148  1 H 2.23
Sm  0.6170  0.0236  0.2148  1 H 2.23
Sm  0.8830  0.5977  0.9066  1 H 2.23
Sm  0.5236  0.3089  0.9066  1 H 2.23
Sm  0.5977  0.8830  0.4066  1 H 2.23
Sm  0.9023  0.8089  0.7852  1 H 2.23
Sm  0.9023  0.0934  0.6170  1 H 2.23
Sm  0.8830  0.2852  0.4764  1 H 2.23
Sm  0.1911  0.0934  0.9764  1 H 2.23
Sm  0.6170  0.5934  0.9023  1 H 2.23
Sm  0.4066  0.0236  0.3089  1 H 2.23
Sm  0.2852  0.4023  0.8089  1 H 2.23
Sm  0.2148  0.5236  0.6170  1 H 2.23
Sm  0.9066  0.0977  0.8830  1 H 2.23
Sm  0.6911  0.2148  0.5977  1 H 2.23
Sm  0.4764  0.7852  0.8830  1 H 2.23
Sm  0.0236  0.4066  0.8089  1 H 2.23
Sm  0.4023  0.2852  0.3089  1 H 2.23
Sm  0.0236  0.6170  0.7148  1 H 2.23
Sm  0.6911  0.4764  0.5934  1 H 2.23
Sm  0.2852  0.8830  0.9764  1 H 2.23